Entry from Alexandria via LeMat-Bulk: crystalline MnPb3O at its relaxed geometry (GGA+U).

Computed properties:
- magnetization (Bohr magnetons per cell) = 5.1
- density (Mg/m³) = 9.02
- VASP energy (eV per atom) = -4.757
- energy above the most stable polymorph in this dataset (eV/f.u.) = 0.00

Cell lengths 5.033, 5.033, 5.033 Å; angles 90.00, 90.00, 90.00 degrees
Space group Pm-3m (No. 221)
One atom of each set of equivalent atoms:
Mn: 0.000 0.000 0.000 x1
Pb: 0.000 0.500 0.500 x3
O: 0.500 0.500 0.500 x1